[1]
Below is an optimized crystal structure of ErMnFe, with properties calculated at the GGA-PBE level.

Symmetry: No. 63
V: 96.7 Å³/cell
ΔH_f (0 K): 0.0504 eV/atom
Raw total energy: -7.35 eV per atom

The structure in POSCAR format:
```
ErMnFe
1.0
-1.114 -2.041 -3.146
-0.602 -2.916 4.537
-4.545 1.713 0.498
Fe Er Mn
2 2 2
direct
0.444 0.888 0.250
0.556 0.112 0.750
0.289 0.578 0.750
0.711 0.422 0.250
0.000 0.000 0.500
0.000 0.000 0.000
```

***

[2]
Below is an optimized crystal structure of ErMnFe, with properties calculated at the GGA-PBE level.

Symmetry: No. 74
V: 92.7 Å³/cell
ΔH_f (0 K): -0.0061 eV/atom
Raw total energy: -7.40 eV per atom

The structure in POSCAR format:
```
ErMnFe
1.0
-2.589 3.346 2.861
-3.861 -3.286 0.612
4.758 -1.468 1.135
Fe Mn Er
2 2 2
direct
0.500 0.500 0.500
0.500 0.000 0.000
0.500 0.500 0.000
0.000 0.500 0.500
0.877 0.127 0.750
0.123 0.873 0.250
```

***

[3]
Below is an optimized crystal structure of Er2MnFe, with properties calculated at the GGA-PBE level.

Symmetry: No. 166
V: 84.5 Å³/cell
ΔH_f (0 K): 0.4148 eV/atom
Raw total energy: -6.27 eV per atom

The structure in POSCAR format:
```
Er2MnFe
1.0
-2.485 1.552 -1.695
0.214 0.367 -3.358
-4.696 -6.835 -2.753
Er Fe Mn
2 1 1
direct
0.758 0.758 0.725
0.242 0.242 0.275
0.500 0.500 0.500
0.000 0.000 0.000
```